Density functional theory data (meta-GGA SCAN) for TiW2Br at its PBEsol-relaxed geometry.

* raw formation energy: 1.227 eV/atom
* theoretical density: 12.98 g/cm3
* symmetry: No. 225

Structure (POSCAR):
```
TiW2Br
1.0
4.475 0.000 0.000
2.238 3.876 0.000
2.238 1.292 3.654
Ti W Br
1 2 1
direct
0.000 0.000 0.000
0.250 0.250 0.250
0.750 0.750 0.750
0.500 0.500 0.500
```

Density functional theory data (meta-GGA SCAN) for Re3RuBr at its PBEsol-relaxed geometry.

* raw formation energy: 2.488 eV/atom
* theoretical density: 12.04 g/cm3
* symmetry: No. 221

Structure (POSCAR):
```
Re3RuBr
1.0
-1.409 0.854 4.373
-0.790 -4.561 0.637
4.385 -0.547 1.519
Re Ru Br
3 1 1
direct
0.000 0.000 0.500
0.000 0.500 0.000
0.500 0.000 0.000
0.000 0.000 0.000
0.500 0.500 0.500
```

Density functional theory data (meta-GGA SCAN) for KYHg3 at its PBEsol-relaxed geometry.

* final energy: -48.2129 eV/atom
* theoretical density: 6.38 g/cm3
* symmetry: No. 221

Structure (POSCAR):
```
KYHg3
1.0
5.749 0.000 0.000
0.000 5.749 0.000
0.000 0.000 5.749
Hg K Y
3 1 1
direct
0.500 0.000 0.000
0.000 0.500 0.000
0.000 0.000 0.500
0.500 0.500 0.500
0.000 0.000 0.000
```

Density functional theory data (meta-GGA SCAN) for YCrCl2 at its PBEsol-relaxed geometry.

* raw formation energy: -1.026 eV/atom
* E above lowest polymorph: 107 meV/atom
* theoretical density: 3.28 g/cm3
* symmetry: No. 71

Structure (POSCAR):
```
YCrCl2
1.0
3.597 0.000 0.000
0.000 5.325 0.000
-1.799 -2.663 5.602
Cr Cl Y
1 2 1
direct
0.500 0.000 0.000
0.329 0.329 0.658
0.671 0.671 0.342
0.000 0.500 0.000
```

> The lowest theoretical density belongs to which entry?

YCrCl2